Computed, not measured: a relaxed BeHg2PbS crystal at the PBE level of DFT.

energy relative to the elements, uncorrected	0.343	eV/f.u.
calculated volume	25.53	Å³ per atom
spin magnetization	0.000	μB per cell

Unit cell a=5.8491 b=5.8491 c=3.7304 alpha=90.00 beta=90.00 gamma=90.00
With the nearest neighbours (Å) after each atom.
Space group P4/mmm (No. 123)
One atom of each set of equivalent atoms:
Be: 0.0000 0.0000 0.0000 (multiplicity 1)  2 S 1.87
Hg: 0.0000 0.5000 0.0000 (multiplicity 2)  2 Be 2.92
Pb: 0.5000 0.5000 0.5000 (multiplicity 1)  8 Hg 3.47, 2 Pb 3.73
S: 0.0000 0.0000 0.5000 (multiplicity 1)  2 Be 1.87